# Na2Mn2S3 SCAN single point on PBEsol structure
data_Na2Mn2S3
_cell_length_a 14.674
_cell_length_b 13.266
_cell_length_c 6.827
_cell_angle_alpha 90.00
_cell_angle_beta 117.07
_cell_angle_gamma 90.00
_space_group_name_H-M_alt 'C 1 2/c 1'
_space_group_IT_number 15
_space_group_name_Hall '-C 2yc'
loop_
_atom_site_label
_atom_site_type_symbol
_atom_site_fract_x
_atom_site_fract_y
_atom_site_fract_z
_atom_site_occupancy
Na1 Na 0.000 0.070 0.250 1
Na2 Na 0.000 0.218 0.750 1
Na3 Na 0.102 0.414 0.629 1
Mn1 Mn 0.181 0.235 0.255 1
Mn2 Mn 0.211 0.075 0.799 1
S1 S 0.113 0.384 0.050 1
S2 S 0.137 0.217 0.555 1
S3 S 0.148 0.075 0.070 1
# Formation energy without anion corrections, meV/atom: -1217
# Total DFT energy (no corrections), Ry per atom: -0.865